(1)
Cd2BrCl at its PBEsol-relaxed geometry, computed with SCAN.

Summary:
Crystal system: orthorhombic
Space-group type: Pmmm
E_form (uncorrected), meV per atom: -347.2
Raw total energy, eV/f.u.: -89.66

Geometry as extended XYZ:
```
4
Lattice="4.050 0.000 0.000 0.000 4.051 0.000 0.000 0.000 6.174" Properties=species:S:1:pos:R:3 pbc="T T T"
Cd 0.000 0.000 0.000
Cd 0.000 2.026 3.087
Br 2.025 0.000 3.087
Cl 2.025 2.026 0.000
```


(2)
Cd2BrCl at its PBEsol-relaxed geometry, computed with SCAN.

Summary:
Crystal system: trigonal
Space-group type: R3m
E_form (uncorrected), meV per atom: -738.4
Raw total energy, eV/f.u.: -91.22

Geometry as extended XYZ:
```
12
Lattice="3.740 0.000 0.000 -1.870 3.239 0.000 0.000 0.000 25.574" Properties=species:S:1:pos:R:3 pbc="T T T"
Cd 0.000 0.000 0.000
Cd 0.000 0.000 6.452
Cd 0.000 2.159 17.049
Cd 0.000 2.159 23.502
Cd 1.870 1.080 8.525
Cd 1.870 1.080 14.977
Br 0.000 0.000 13.273
Br 0.000 2.159 4.749
Br 1.870 1.080 21.798
Cl 0.000 0.000 18.579
Cl 0.000 2.159 10.055
Cl 1.870 1.080 1.530
```


(3)
Cd2BrCl at its PBEsol-relaxed geometry, computed with SCAN.

Summary:
Crystal system: cubic
Space-group type: F-43m
E_form (uncorrected), meV per atom: -141.9
Raw total energy, eV/f.u.: -88.83

Geometry as extended XYZ:
```
16
Lattice="7.177 0.000 0.000 0.000 7.177 0.000 0.000 0.000 7.177" Properties=species:S:1:pos:R:3 pbc="T T T"
Cd 0.000 0.000 0.000
Cd 0.000 3.588 3.588
Cd 1.794 1.794 1.794
Cd 1.794 5.382 5.382
Cd 3.588 0.000 3.588
Cd 3.588 3.588 0.000
Cd 5.382 1.794 5.382
Cd 5.382 5.382 1.794
Br 0.000 0.000 3.588
Br 0.000 3.588 0.000
Br 3.588 0.000 0.000
Br 3.588 3.588 3.588
Cl 1.794 1.794 5.382
Cl 1.794 5.382 1.794
Cl 5.382 1.794 1.794
Cl 5.382 5.382 5.382
```